(1)
A plane-wave DFT calculation with PBE was carried out for Tb2Y2ErMg2 after structural relaxation.

The structure in POSCAR format:
```
Tb2Y2ErMg2
1.0
5.452 0.000 0.000
2.726 4.722 0.000
2.726 1.574 7.993
Mg Y Tb Er
2 2 2 1
direct
0.711 0.711 0.866
0.289 0.289 0.134
0.154 0.154 0.538
0.846 0.846 0.462
0.426 0.426 0.723
0.574 0.574 0.277
0.000 0.000 0.000
```

## Properties
Energy of formation ... -0.010 eV/atom
Magnetic moment ... 0.000 μB per formula unit
Uncorrected energy ... -4.2868 eV/atom

(2)
A plane-wave DFT calculation with PBE was carried out for AcPmMgSn after structural relaxation.

The structure in POSCAR format:
```
AcPmMgSn
1.0
5.606 0.000 0.000
2.803 4.855 0.000
2.803 1.618 4.577
Pm Mg Sn Ac
1 1 1 1
direct
0.000 0.000 0.000
0.750 0.750 0.750
0.250 0.250 0.250
0.500 0.500 0.500
```

## Properties
Energy of formation ... -0.370 eV/atom
Magnetic moment ... 0.000 μB per formula unit
Uncorrected energy ... -3.9846 eV/atom

(3)
A plane-wave DFT calculation with PBE was carried out for GeBiAu3 after structural relaxation.

The structure in POSCAR format:
```
GeBiAu3
1.0
-1.979 -0.112 4.534
0.610 -4.909 0.145
4.494 0.617 1.977
Ge Au Bi
1 3 1
direct
0.000 0.000 0.000
0.500 0.000 0.000
0.000 0.000 0.500
0.000 0.500 0.000
0.500 0.500 0.500
```

## Properties
Energy of formation ... 0.339 eV/atom
Magnetic moment ... 0.000 μB per formula unit
Uncorrected energy ... -3.3274 eV/atom
Excess energy over the best structure of this formula in the dataset ... 314 meV/atom

(4)
A plane-wave DFT calculation with PBE was carried out for YHo3Hg2 after structural relaxation.

The structure in POSCAR format:
```
YHo3Hg2
1.0
-3.633 -3.519 0.576
3.873 -4.604 -3.698
4.005 -2.864 7.760
Ho Hg Y
6 4 2
direct
0.500 0.669 0.174
0.000 0.831 0.676
0.500 0.169 0.826
0.000 0.484 0.944
0.000 0.331 0.324
0.000 0.984 0.056
0.500 0.738 0.851
0.000 0.761 0.351
0.500 0.238 0.149
0.000 0.261 0.649
0.500 0.516 0.555
0.500 0.016 0.445
```

## Properties
Energy of formation ... -0.373 eV/atom
Magnetic moment ... 0.000 μB per formula unit
Uncorrected energy ... -3.8400 eV/atom
Excess energy over the best structure of this formula in the dataset ... 0 meV/atom

(5)
A plane-wave DFT calculation with PBE was carried out for HfVIn3 after structural relaxation.

The structure in POSCAR format:
```
HfVIn3
1.0
5.043 0.000 0.000
0.000 5.043 0.000
0.000 0.000 5.043
In Hf V
3 1 1
direct
0.500 0.000 0.000
0.000 0.000 0.500
0.000 0.500 0.000
0.500 0.500 0.500
0.000 0.000 0.000
```

## Properties
Energy of formation ... 0.840 eV/atom
Magnetic moment ... 0.511 μB per formula unit
Uncorrected energy ... -4.6179 eV/atom
Excess energy over the best structure of this formula in the dataset ... 0 meV/atom

(6)
A plane-wave DFT calculation with PBE was carried out for Ce3ThSb3 after structural relaxation.

The structure in POSCAR format:
```
Ce3ThSb3
1.0
-6.362 -6.683 -1.994
3.546 -0.776 -8.714
6.005 -6.622 3.034
Ce Sb Th
12 12 4
direct
0.427 0.573 0.073
0.927 0.927 0.927
0.178 0.822 0.322
0.824 0.676 0.324
0.678 0.678 0.678
0.822 0.322 0.178
0.324 0.824 0.676
0.676 0.324 0.824
0.573 0.073 0.427
0.176 0.176 0.176
0.322 0.178 0.822
0.073 0.427 0.573
0.249 0.874 0.999
0.874 0.999 0.249
0.501 0.751 0.374
0.749 0.626 0.001
0.499 0.251 0.126
0.001 0.749 0.626
0.374 0.501 0.751
0.751 0.374 0.501
0.999 0.249 0.874
0.626 0.001 0.749
0.251 0.126 0.499
0.126 0.499 0.251
0.926 0.074 0.574
0.074 0.574 0.926
0.574 0.926 0.074
0.426 0.426 0.426
```

## Properties
Uncorrected formation energy ... -0.876 eV per atom
Magnetic moment ... 3.078 μB per formula unit
Uncorrected energy ... -6.2460 eV/atom
Excess energy over the best structure of this formula in the dataset ... 0 meV/atom

(7)
A plane-wave DFT calculation with PBE was carried out for AcPF after structural relaxation.

The structure in POSCAR format:
```
AcPF
1.0
-4.407 -0.011 0.132
-0.057 -3.683 -2.197
0.128 -0.062 4.287
Ac F P
1 1 1
direct
0.167 0.000 0.000
0.167 0.333 0.667
0.667 0.667 0.333
```

## Properties
Uncorrected formation energy ... -2.115 eV per atom
Magnetic moment ... 0.583 μB per formula unit
Uncorrected energy ... -5.9114 eV/atom
Excess energy over the best structure of this formula in the dataset ... 371 meV/atom

(8)
A plane-wave DFT calculation with PBE was carried out for CrSiPt2 after structural relaxation.

The structure in POSCAR format:
```
CrSiPt2
1.0
-0.591 1.866 3.286
-2.199 -2.875 1.237
5.411 -4.263 5.620
Cr Si Pt
2 2 4
direct
0.750 0.250 0.500
0.000 0.000 0.000
0.250 0.750 0.500
0.500 0.500 0.000
0.128 0.625 0.250
0.875 0.872 0.750
0.622 0.125 0.250
0.375 0.378 0.750
```

## Properties
Uncorrected formation energy ... 0.093 eV per atom
Magnetic moment ... 0.003 μB per formula unit
Uncorrected energy ... -6.6889 eV/atom

(9)
A plane-wave DFT calculation with PBE was carried out for Cd2HgPd after structural relaxation.

The structure in POSCAR format:
```
Cd2HgPd
1.0
2.967 0.000 0.000
1.483 2.569 0.000
1.483 0.856 11.306
Cd Hg Pd
2 1 1
direct
0.080 0.080 0.759
0.920 0.920 0.241
0.500 0.500 0.500
0.000 0.000 0.000
```

## Properties
Energy of formation ... 0.120 eV/atom
Magnetic moment ... 0.000 μB per formula unit
Uncorrected energy ... -1.7113 eV/atom

(10)
A plane-wave DFT calculation with PBE was carried out for SrY2Si after structural relaxation.

The structure in POSCAR format:
```
SrY2Si
1.0
3.902 0.000 0.000
0.000 3.904 0.000
0.000 0.000 8.234
Sr Si Y
1 1 2
direct
0.500 0.500 0.702
0.000 0.000 0.431
0.000 0.000 0.059
0.500 0.500 0.308
```

## Properties
Uncorrected formation energy ... -0.154 eV per atom
Magnetic moment ... 1.088 μB per formula unit
Uncorrected energy ... -5.1624 eV/atom

(11)
A plane-wave DFT calculation with PBE was carried out for CrTe3Pd after structural relaxation.

The structure in POSCAR format:
```
CrTe3Pd
1.0
-0.513 -4.424 -2.535
5.096 -0.525 -0.114
-0.161 -2.533 4.452
Te Pd Cr
3 1 1
direct
0.000 0.500 0.000
0.000 0.000 0.500
0.500 0.000 0.000
0.500 0.500 0.500
0.000 0.000 0.000
```

## Properties
Uncorrected formation energy ... 0.563 eV per atom
Magnetic moment ... 1.994 μB per formula unit
Uncorrected energy ... -4.2852 eV/atom
Excess energy over the best structure of this formula in the dataset ... 775 meV/atom

(12)
A plane-wave DFT calculation with PBE was carried out for Rb2UNi2Se6 after structural relaxation.

The structure in POSCAR format:
```
Rb2UNi2Se6
1.0
-5.396 -4.894 -1.773
2.214 0.722 7.124
-3.998 6.240 -5.057
Se Ni Rb U
6 2 2 1
direct
0.255 0.992 0.280
0.206 0.411 0.209
0.737 0.992 0.280
0.794 0.589 0.791
0.745 0.008 0.720
0.263 0.008 0.720
0.001 0.002 0.853
0.999 0.998 0.147
0.732 0.465 0.236
0.268 0.535 0.764
0.500 0.000 0.500
```

## Properties
Uncorrected formation energy ... -0.731 eV per atom
Magnetic moment ... 0.000 μB per formula unit
Uncorrected energy ... -4.8845 eV/atom

(13)
A plane-wave DFT calculation with PBE was carried out for Tl2VCd after structural relaxation.

The structure in POSCAR format:
```
Tl2VCd
1.0
8.105 0.000 0.000
0.000 8.105 0.000
4.052 4.052 3.095
Tl Cd V
4 2 2
direct
0.875 0.855 0.750
0.375 0.395 0.750
0.145 0.625 0.250
0.605 0.125 0.250
0.000 0.000 0.000
0.750 0.250 0.500
0.250 0.750 0.500
0.500 0.500 0.000
```

## Properties
Energy of formation ... 0.595 eV/atom
Magnetic moment ... 3.135 μB per formula unit
Uncorrected energy ... -3.0961 eV/atom
Excess energy over the best structure of this formula in the dataset ... 112 meV/atom

(14)
A plane-wave DFT calculation with PBE was carried out for Sm12Y5Th2 after structural relaxation.

The structure in POSCAR format:
```
Sm12Y5Th2
1.0
-2.725 5.737 3.150
-3.336 2.610 -7.638
-5.999 -9.289 3.751
Sm Y Th
12 5 2
direct
0.546 0.699 0.093
0.547 0.206 0.600
0.851 0.387 0.214
0.947 0.794 0.400
0.858 0.936 0.716
0.454 0.301 0.907
0.453 0.794 0.400
0.637 0.613 0.786
0.053 0.206 0.600
0.142 0.064 0.284
0.363 0.387 0.214
0.149 0.613 0.786
0.350 0.903 0.701
0.650 0.097 0.299
0.751 0.508 0.502
0.249 0.492 0.498
0.000 0.500 0.000
0.250 0.000 0.000
0.750 0.000 0.000
```

## Properties
Energy of formation ... 0.154 eV/atom
Magnetic moment ... 0.000 μB per formula unit
Uncorrected energy ... -5.3091 eV/atom
Excess energy over the best structure of this formula in the dataset ... 30 meV/atom

(15)
A plane-wave DFT calculation with PBE was carried out for MgSn2As2 after structural relaxation.

The structure in POSCAR format:
```
MgSn2As2
1.0
5.278 0.000 0.000
0.000 5.278 0.000
0.000 0.000 5.686
Mg Sn As
1 2 2
direct
0.500 0.500 0.500
0.000 0.000 0.000
0.000 0.000 0.500
0.000 0.500 0.000
0.500 0.000 0.000
```

## Properties
Energy of formation ... 0.712 eV/atom
Magnetic moment ... 0.000 μB per formula unit
Uncorrected energy ... -3.0683 eV/atom
Excess energy over the best structure of this formula in the dataset ... 739 meV/atom

(16)
A plane-wave DFT calculation with PBE was carried out for TbY2Au after structural relaxation.

The structure in POSCAR format:
```
TbY2Au
1.0
-2.610 -0.012 2.530
0.011 -3.635 -0.006
5.905 0.009 6.090
Y Au Tb
2 1 1
direct
0.000 0.000 0.207
0.000 0.000 0.793
0.500 0.500 0.000
0.500 0.500 0.500
```

## Properties
Energy of formation ... -0.393 eV/atom
Magnetic moment ... 0.000 μB per formula unit
Uncorrected energy ... -5.6018 eV/atom
Excess energy over the best structure of this formula in the dataset ... 59 meV/atom

(17)
A plane-wave DFT calculation with PBE was carried out for Cs2HfGa after structural relaxation.

The structure in POSCAR format:
```
Cs2HfGa
1.0
14.429 0.000 0.000
0.000 14.429 0.000
7.215 7.215 2.615
Cs Ga Hf
4 2 2
direct
0.375 0.552 0.750
0.448 0.125 0.250
0.875 0.698 0.750
0.302 0.625 0.250
0.250 0.750 0.500
0.500 0.500 0.000
0.750 0.250 0.500
0.000 0.000 0.000
```

## Properties
Energy of formation ... 0.814 eV/atom
Magnetic moment ... 0.003 μB per formula unit
Uncorrected energy ... -2.8575 eV/atom
Excess energy over the best structure of this formula in the dataset ... 0 meV/atom

(18)
A plane-wave DFT calculation with PBE was carried out for HfZrNiRh after structural relaxation.

The structure in POSCAR format:
```
HfZrNiRh
1.0
-0.590 1.688 4.233
3.220 -0.669 3.209
2.569 3.524 1.447
Zr Ni Hf Rh
1 1 1 1
direct
0.000 0.000 0.000
0.750 0.750 0.750
0.500 0.500 0.500
0.250 0.250 0.250
```

## Properties
Energy of formation ... -0.597 eV/atom
Magnetic moment ... 0.000 μB per formula unit
Uncorrected energy ... -8.5053 eV/atom

(19)
A plane-wave DFT calculation with PBE was carried out for Ag2SnC after structural relaxation.

The structure in POSCAR format:
```
Ag2SnC
1.0
-2.967 2.813 3.068
-3.580 -3.647 -0.118
-0.597 -3.211 6.624
Ag Sn C
4 2 2
direct
0.483 0.125 0.250
0.267 0.625 0.250
0.875 0.733 0.750
0.375 0.517 0.750
0.750 0.250 0.500
0.000 0.000 0.000
0.250 0.750 0.500
0.500 0.500 0.000
```

## Properties
Energy of formation ... 1.120 eV/atom
Magnetic moment ... 0.000 μB per formula unit
Uncorrected energy ... -3.6123 eV/atom
Excess energy over the best structure of this formula in the dataset ... 0 meV/atom

(20)
A plane-wave DFT calculation with PBE was carried out for Ba3SrLa2Te6 after structural relaxation.

The structure in POSCAR format:
```
Ba3SrLa2Te6
1.0
8.273 0.000 0.001
-4.134 7.166 0.001
-1.380 -2.389 7.915
Te Sr Ba La
6 1 3 2
direct
0.077 0.415 0.230
0.415 0.077 0.230
0.738 0.738 0.228
0.262 0.262 0.772
0.923 0.585 0.770
0.585 0.923 0.770
0.000 0.000 0.000
0.165 0.835 0.500
0.835 0.165 0.500
0.500 0.500 0.500
0.667 0.333 0.000
0.333 0.667 0.000
```

## Properties
Uncorrected formation energy ... -1.689 eV per atom
Magnetic moment ... 0.000 μB per formula unit
Uncorrected energy ... -4.7016 eV/atom

Number 1: D(E_F) 9.2 states/eV/f.u.. Number 2: D(E_F) 3.8 states/eV/f.u.. Number 3: D(E_F) 3.5 states/eV/f.u.. Number 4: D(E_F) 2.2 states/eV/f.u.. Number 5: D(E_F) 5.9 states/eV/f.u.. Number 6: D(E_F) 23.6 states/eV/f.u.. Number 7: D(E_F) 2.9 states/eV/f.u.. Number 8: D(E_F) 5.7 states/eV/f.u.. Number 9: D(E_F) 1.7 states/eV/f.u.. Number 10: D(E_F) 4.4 states/eV/f.u.. Number 11: D(E_F) 6.4 states/eV/f.u.. Number 12: D(E_F) 8.9 states/eV/f.u.. Number 13: D(E_F) 4.3 states/eV/f.u.. Number 14: D(E_F) 29.3 states/eV/f.u.. Number 15: D(E_F) 5.9 states/eV/f.u.. Number 16: D(E_F) 5.5 states/eV/f.u.. Number 17: D(E_F) 5.5 states/eV/f.u.. Number 18: D(E_F) 2.6 states/eV/f.u.. Number 19: D(E_F) 0.1 states/eV/f.u.. Number 20: D(E_F) 3.5 states/eV/f.u..